Record 1
# LaNbZn, relaxed, DFT PBE-GGA
data_LaNbZn
_chemical_formula_sum 'La4 Nb4 Zn4'
_space_group_name_H-M_alt 'F -4 3 m'
_space_group_IT_number 216
_space_group_name_Hall 'F -4 2 3'
_cell_length_a 6.701
_cell_length_b 6.701
_cell_length_c 6.701
_cell_angle_alpha 90.00
_cell_angle_beta 90.00
_cell_angle_gamma 90.00
loop_
_atom_site_label
_atom_site_type_symbol
_atom_site_fract_x
_atom_site_fract_y
_atom_site_fract_z
La1 La 0.000 0.000 0.000
Nb1 Nb 0.000 0.000 0.500
Zn1 Zn 0.250 0.250 0.250
# formation energy from the elements	56.22	kJ/mol of atoms
# spin magnetization	5.2	Bohr magnetons per cell
# density	6.6	g/cm3
# calculated volume	300.9	Å³/cell

Record 2
# K2ZrCl6, relaxed, DFT PBE-GGA
data_K2ZrCl6
_chemical_formula_sum 'K8 Zr4 Cl24'
_space_group_name_H-M_alt 'C 1 2/c 1'
_space_group_IT_number 15
_cell_length_a 7.960
_cell_length_b 13.953
_cell_length_c 8.181
_cell_angle_alpha 90.00
_cell_angle_beta 90.52
_cell_angle_gamma 90.00
loop_
_space_group_symop_operation_xyz
'x,y,z'
'-x,-y,-z'
'-x,y,-z+1/2'
'x,-y,z+1/2'
'x+1/2,y+1/2,z'
'-x+1/2,-y+1/2,-z'
'-x+1/2,y+1/2,-z+1/2'
'x+1/2,-y+1/2,z+1/2'
loop_
_atom_site_label
_atom_site_type_symbol
_atom_site_fract_x
_atom_site_fract_y
_atom_site_fract_z
K1 K 0.009 0.155 0.496
Zr1 Zr 0.000 0.441 0.750
Cl1 Cl 0.007 0.394 0.448
Cl2 Cl 0.199 0.285 0.757
Cl3 Cl 0.201 0.002 0.754
# spin magnetization	0.0	Bohr magnetons per cell
# density	2.8	g/cm3
# calculated volume	908.6	Å³/cell
# E	-4.257	eV/atom

Record 3
# Ni2SnPb, relaxed, DFT PBE-GGA
data_Ni2SnPb
_chemical_formula_sum 'Ni8 Sn4 Pb4'
_space_group_name_H-M_alt 'C m c m'
_space_group_IT_number 63
_space_group_name_Hall '-C 2c 2'
_cell_length_a 6.619
_cell_length_b 10.358
_cell_length_c 4.269
_cell_angle_alpha 90.00
_cell_angle_beta 90.00
_cell_angle_gamma 90.00
loop_
_atom_site_label
_atom_site_type_symbol
_atom_site_fract_x
_atom_site_fract_y
_atom_site_fract_z
Ni1 Ni 0.205 0.082 0.250
Sn1 Sn 0.000 0.141 0.750
Pb1 Pb 0.000 0.375 0.250
# spin magnetization	0.0	Bohr magnetons per cell
# density	10.1	g/cm3
# calculated volume	292.6	Å³/cell
# E	-4.617	eV/atom

Record 4
# CdCuSnOs, relaxed, DFT PBE-GGA
data_CdCuSnOs
_chemical_formula_sum 'Cd4 Cu4 Sn4 Os4'
_space_group_name_H-M_alt 'F -4 3 m'
_space_group_IT_number 216
_space_group_name_Hall 'F -4 2 3'
_cell_length_a 6.470
_cell_length_b 6.470
_cell_length_c 6.470
_cell_angle_alpha 90.00
_cell_angle_beta 90.00
_cell_angle_gamma 90.00
loop_
_atom_site_label
_atom_site_type_symbol
_atom_site_fract_x
_atom_site_fract_y
_atom_site_fract_z
Cd1 Cd 0.000 0.000 0.000
Cu1 Cu 0.250 0.250 0.750
Sn1 Sn 0.000 0.000 0.500
Os1 Os 0.250 0.250 0.250
# spin magnetization	0.0	Bohr magnetons per cell
# density	11.9	g/cm3
# calculated volume	270.9	Å³/cell
# E	-4.559	eV/atom

Record 5
# ZnIr17, relaxed, DFT PBE-GGA
data_ZnIr17
_chemical_formula_sum 'Zn2 Ir34'
_space_group_name_H-M_alt 'P 1 21/m 1'
_space_group_IT_number 11
_cell_length_a 4.708
_cell_length_b 5.439
_cell_length_c 33.094
_cell_angle_alpha 90.00
_cell_angle_beta 90.03
_cell_angle_gamma 90.00
loop_
_space_group_symop_operation_xyz
'x,y,z'
'-x,-y,-z'
'-x,y+1/2,-z'
'x,-y+1/2,z'
loop_
_atom_site_label
_atom_site_type_symbol
_atom_site_fract_x
_atom_site_fract_y
_atom_site_fract_z
Zn1 Zn 0.166 0.250 0.221
Ir1 Ir 0.000 0.000 0.500
Ir2 Ir 0.000 0.002 0.297
Ir3 Ir 0.166 0.750 0.433
Ir4 Ir 0.166 0.750 0.636
Ir5 Ir 0.167 0.250 0.432
Ir6 Ir 0.169 0.250 0.635
Ir7 Ir 0.169 0.750 0.231
Ir8 Ir 0.333 0.000 0.364
Ir9 Ir 0.333 0.001 0.568
Ir10 Ir 0.333 0.501 0.769
Ir11 Ir 0.498 0.250 0.297
Ir12 Ir 0.500 0.250 0.500
Ir13 Ir 0.500 0.250 0.703
# formation energy from the elements	15.06	kJ/mol of atoms
# spin magnetization	0.0	Bohr magnetons per cell
# density	13.1	g/cm3
# calculated volume	847.3	Å³/cell

Record 6
# Ho3Mg3AgPt2, relaxed, DFT PBE-GGA
data_Ho3Mg3AgPt2
_chemical_formula_sum 'Ho3 Mg3 Ag1 Pt2'
_space_group_name_H-M_alt 'P -6 2 m'
_space_group_IT_number 189
_space_group_name_Hall 'P -6 -2'
_cell_length_a 7.5211
_cell_length_b 7.5211
_cell_length_c 3.9898
_cell_angle_alpha 90.00
_cell_angle_beta 90.00
_cell_angle_gamma 120.00
loop_
_atom_site_label
_atom_site_type_symbol
_atom_site_fract_x
_atom_site_fract_y
_atom_site_fract_z
Ho1 Ho 0.0000 0.4189 0.0000
Mg1 Mg 0.0000 0.7463 0.5000
Ag1 Ag 0.0000 0.0000 0.0000
Pt1 Pt 0.3333 0.6667 0.5000
# spin magnetization	0.0	Bohr magnetons per cell
# density	9.1	g/cm3
# calculated volume	195.5	Å³/cell
# E	-4.442	eV/atom

Record 7
# RbNiSb, relaxed, DFT PBE-GGA
data_RbNiSb
_chemical_formula_sum 'Rb4 Ni4 Sb4'
_space_group_name_H-M_alt 'F -4 3 m'
_space_group_IT_number 216
_space_group_name_Hall 'F -4 2 3'
_cell_length_a 6.978
_cell_length_b 6.978
_cell_length_c 6.978
_cell_angle_alpha 90.00
_cell_angle_beta 90.00
_cell_angle_gamma 90.00
loop_
_atom_site_label
_atom_site_type_symbol
_atom_site_fract_x
_atom_site_fract_y
_atom_site_fract_z
Rb1 Rb 0.000 0.000 0.000
Ni1 Ni 0.250 0.250 0.250
Sb1 Sb 0.000 0.000 0.500
# spin magnetization	4.7	Bohr magnetons per cell
# density	5.2	g/cm3
# calculated volume	339.8	Å³/cell
# E	-3.078	eV/atom

Record 8
# ScNi2Pt, relaxed, DFT PBE-GGA
data_ScNi2Pt
_chemical_formula_sum 'Sc4 Ni8 Pt4'
_space_group_name_H-M_alt 'F -4 3 m'
_space_group_IT_number 216
_space_group_name_Hall 'F -4 2 3'
_cell_length_a 6.129
_cell_length_b 6.129
_cell_length_c 6.129
_cell_angle_alpha 90.00
_cell_angle_beta 90.00
_cell_angle_gamma 90.00
loop_
_atom_site_label
_atom_site_type_symbol
_atom_site_fract_x
_atom_site_fract_y
_atom_site_fract_z
Sc1 Sc 0.000 0.000 0.000
Ni1 Ni 0.000 0.000 0.500
Ni2 Ni 0.250 0.250 0.750
Pt1 Pt 0.250 0.250 0.250
# formation energy from the elements	-47.16	kJ/mol of atoms
# spin magnetization	1.5	Bohr magnetons per cell
# density	10.3	g/cm3
# calculated volume	230.3	Å³/cell

- What is the formula in the first record?
  LaNbZn

- Look up the calculated volume of the third one.
  292.6 Å³/cell

- calculated volume of number 2 (K2ZrCl6)?
  908.6 Å³/cell